Record 1
A geometry-optimized Pu2OsAu structure, computed with GGA-PBE.

Calculated values
E_form = 1.1 eV per formula unit
calculated volume = 79.8 Å³/cell
total DFT energy (no corrections) = -42.07 eV per cell

a b c (Å): 2.911 2.911 11.004
angles (deg): 82.40 82.40 60.00
Site moments in Bohr magnetons follow the coordinates.
Positions (direct):
Os1 0.500 0.500 0.500  -0.31
Au1 0.000 0.000 0.000  0.02
Pu1 0.093 0.093 0.722  4.67
Pu2 0.907 0.907 0.278  4.67

Record 2
A geometry-optimized ZrReRu2 structure, computed with GGA-PBE.

Calculated values
E_form = -0.1 eV per formula unit
calculated volume = 63.8 Å³/cell
distance to the lowest polymorph of the same formula = 0.059 eV/atom
total DFT energy (no corrections) = -39.63 eV per cell

a b c (Å): 3.697 4.155 4.155
angles (deg): 90.00 90.00 90.00
Positions (direct):
Re1 0.500 0.000 0.500
Ru1 0.000 0.000 0.000
Ru2 0.000 0.500 0.500
Zr1 0.500 0.500 0.000

Record 3
A geometry-optimized KHgIr structure, computed with GGA-PBE.

Calculated values
E_form = 4.4 eV per formula unit
calculated volume = 112.8 Å³/cell
distance to the lowest polymorph of the same formula = 1.036 eV/atom
total DFT energy (no corrections) = -5.90 eV per cell

a b c (Å): 5.423 5.423 5.423
angles (deg): 60.00 60.00 60.00
Site moments in Bohr magnetons follow the coordinates.
Positions (direct):
Hg1 0.000 0.000 0.000  0.04
Ir1 0.500 0.500 0.500  1.75
K1 0.750 0.750 0.750  0.00

Record 4
A geometry-optimized Ho3CoAg structure, computed with GGA-PBE.

Calculated values
E_form = -0.3 eV per formula unit
calculated volume = 134.0 Å³/cell
distance to the lowest polymorph of the same formula = 0.149 eV/atom
total DFT energy (no corrections) = -23.97 eV per cell

a b c (Å): 5.117 5.117 5.117
angles (deg): 90.00 90.00 90.00
Positions (direct):
Co1 0.000 0.000 0.000
Ho1 0.000 0.500 0.000
Ho2 0.000 0.000 0.500
Ho3 0.500 0.000 0.000
Ag1 0.500 0.500 0.500

Record 5
A geometry-optimized Co6Ni8Ir structure, computed with GGA-PBE.

Calculated values
E_form = 1.3 eV per formula unit
calculated volume = 172.2 Å³/cell
distance to the lowest polymorph of the same formula = 0.000 eV/atom
total DFT energy (no corrections) = -96.46 eV per cell

a b c (Å): 6.234 6.234 6.234
angles (deg): 60.23 60.23 60.23
Site moments in Bohr magnetons follow the coordinates.
Positions (direct):
Co1 0.938 0.471 0.719  1.78
Co2 0.281 0.062 0.529  1.78
Co3 0.529 0.281 0.062  1.78
Co4 0.471 0.719 0.938  1.78
Co5 0.719 0.938 0.471  1.78
Co6 0.062 0.529 0.281  1.78
Ni1 0.121 0.660 0.814  0.68
Ni2 0.186 0.879 0.340  0.68
Ni3 0.340 0.186 0.879  0.68
Ni4 0.580 0.580 0.580  0.72
Ni5 0.420 0.420 0.420  0.72
Ni6 0.660 0.814 0.121  0.68
Ni7 0.814 0.121 0.660  0.68
Ni8 0.879 0.340 0.186  0.68
Ir1 0.000 0.000 0.000  0.64

Record 6
A geometry-optimized TaCrIn2Cu structure, computed with GGA-PBE.

Calculated values
E_form = 4.9 eV per formula unit
calculated volume = 109.9 Å³/cell
total DFT energy (no corrections) = -26.17 eV per cell

a b c (Å): 4.742 4.889 4.742
angles (deg): 90.00 90.00 90.00
Site moments in Bohr magnetons follow the coordinates.
Positions (direct):
Cr1 0.500 0.500 0.500  3.74
In1 0.000 0.000 0.500  -0.02
In2 0.500 0.000 0.000  0.00
Cu1 0.000 0.000 0.000  -0.01
Ta1 0.000 0.500 0.000  -0.47

Record 7
A geometry-optimized LiCaPr2 structure, computed with GGA-PBE.

Calculated values
E_form = 1.0 eV per formula unit
calculated volume = 143.3 Å³/cell
distance to the lowest polymorph of the same formula = 0.173 eV/atom
total DFT energy (no corrections) = -12.49 eV per cell

a b c (Å): 3.566 3.566 13.175
angles (deg): 82.22 82.22 60.00
Positions (direct):
Pr1 0.085 0.085 0.744
Pr2 0.915 0.915 0.256
Ca1 0.500 0.500 0.500
Li1 0.000 0.000 0.000

Record 8
A geometry-optimized La5Tb5Th2 structure, computed with GGA-PBE.

Calculated values
E_form = 0.5 eV per formula unit
calculated volume = 408.4 Å³/cell
total DFT energy (no corrections) = -62.17 eV per cell

a b c (Å): 5.109 10.917 8.166
angles (deg): 98.47 71.77 76.47
Positions (direct):
La1 0.666 0.254 0.413
La2 0.993 0.258 0.756
La3 0.007 0.742 0.244
La4 0.334 0.746 0.587
La5 0.000 0.000 0.000
Tb1 0.000 0.500 0.500
Tb2 0.671 0.742 0.915
Tb3 0.334 0.998 0.334
Tb4 0.666 0.002 0.666
Tb5 0.329 0.258 0.085
Th1 0.329 0.501 0.841
Th2 0.671 0.499 0.159

> Which of these has the lowest E_form?

Ho3CoAg